This record from Alexandria describes crystalline Sr3Cu2TcO9 at its relaxed geometry. The functional is PBE.

Results
formation energy (no corrections): -1.733 eV/atom
total DFT energy (no corrections): -6.281 eV/atom

Structure (CIF):
```
data_Sr3Cu2TcO9
_chemical_formula_sum 'Sr3 Cu2 Tc1 O9'
_cell_length_a 5.5631
_cell_length_b 5.5631
_cell_length_c 6.9263
_cell_angle_alpha 90.00
_cell_angle_beta 90.00
_cell_angle_gamma 120.00
_symmetry_space_group_name_H-M 'P -3 m 1'
_symmetry_Int_Tables_number 164
_symmetry_space_group_name_Hall '-P 3 2"'
loop_
_atom_site_label
_atom_site_fract_x
_atom_site_fract_y
_atom_site_fract_z
Sr1 0.0000 0.0000 0.0000
Sr2 0.3333 0.6667 0.6954
Cu1 0.3333 0.6667 0.1583
Tc1 0.0000 0.0000 0.5000
O1 0.0000 0.5000 0.0000
O2 0.1615 0.3230 0.3420
```